# KNdMn2O8 GGA+U optimized geometry
data_KNdMn2O8
_chemical_formula_sum 'K1 Nd1 Mn2 O8'
_space_group_name_H-M_alt 'P 1'
_space_group_IT_number 1
_space_group_name_Hall 'P 1'
_cell_length_a 5.822
_cell_length_b 5.822
_cell_length_c 7.836
_cell_angle_alpha 90.00
_cell_angle_beta 90.00
_cell_angle_gamma 120.00
loop_
_atom_site_label
_atom_site_fract_x
_atom_site_fract_y
_atom_site_fract_z
_atom_site_occupancy
K1 0.000 0.000 0.000 1
Nd1 0.000 0.000 0.500 1
Mn1 0.333 0.667 0.767 1
Mn2 0.667 0.333 0.233 1
O1 0.173 0.354 0.694 1
O2 0.181 0.827 0.694 1
O3 0.333 0.667 0.974 1
O4 0.354 0.181 0.306 1
O5 0.646 0.819 0.694 1
O6 0.667 0.333 0.026 1
O7 0.819 0.173 0.306 1
O8 0.827 0.646 0.306 1
# **Size of the total moment**: 0.1667 μB per atom


# K3Nd2MnO6 GGA+U optimized geometry
data_K3Nd2MnO6
_chemical_formula_sum 'K3 Nd2 Mn1 O6'
_space_group_name_H-M_alt 'P 1'
_space_group_IT_number 1
_space_group_name_Hall 'P 1'
_cell_length_a 6.012
_cell_length_b 6.012
_cell_length_c 6.670
_cell_angle_alpha 99.97
_cell_angle_beta 99.97
_cell_angle_gamma 117.64
loop_
_atom_site_label
_atom_site_fract_x
_atom_site_fract_y
_atom_site_fract_z
_atom_site_occupancy
K1 0.000 0.000 0.000 1
K2 0.340 0.660 0.000 1
K3 0.660 0.340 0.000 1
Nd1 0.164 0.836 0.500 1
Nd2 0.836 0.164 0.500 1
Mn1 0.500 0.500 0.500 1
O1 0.149 0.437 0.330 1
O2 0.220 0.220 0.717 1
O3 0.437 0.149 0.330 1
O4 0.563 0.851 0.670 1
O5 0.780 0.780 0.283 1
O6 0.851 0.563 0.670 1
# **Size of the total moment**: 0.3321 μB per atom


# K3Nd3MnO8 GGA+U optimized geometry
data_K3Nd3MnO8
_chemical_formula_sum 'K3 Nd3 Mn1 O8'
_space_group_name_H-M_alt 'P 1'
_space_group_IT_number 1
_space_group_name_Hall 'P 1'
_cell_length_a 7.482
_cell_length_b 7.482
_cell_length_c 7.482
_cell_angle_alpha 55.69
_cell_angle_beta 55.69
_cell_angle_gamma 55.69
loop_
_atom_site_label
_atom_site_fract_x
_atom_site_fract_y
_atom_site_fract_z
_atom_site_occupancy
K1 0.000 0.500 0.500 1
K2 0.500 0.000 0.500 1
K3 0.500 0.500 0.000 1
Nd1 0.000 0.000 0.500 1
Nd2 0.000 0.500 0.000 1
Nd3 0.500 0.000 0.000 1
Mn1 0.500 0.500 0.500 1
O1 0.231 0.231 0.231 1
O2 0.269 0.701 0.701 1
O3 0.299 0.299 0.731 1
O4 0.299 0.731 0.299 1
O5 0.701 0.269 0.701 1
O6 0.701 0.701 0.269 1
O7 0.731 0.299 0.299 1
O8 0.769 0.769 0.769 1
# **Size of the total moment**: 0.1956 μB per atom


# KNd2MnO5 GGA+U optimized geometry
data_KNd2MnO5
_chemical_formula_sum 'K2 Nd4 Mn2 O10'
_space_group_name_H-M_alt 'P 1'
_space_group_IT_number 1
_space_group_name_Hall 'P 1'
_cell_length_a 6.788
_cell_length_b 6.788
_cell_length_c 5.850
_cell_angle_alpha 90.00
_cell_angle_beta 90.00
_cell_angle_gamma 90.00
loop_
_atom_site_label
_atom_site_fract_x
_atom_site_fract_y
_atom_site_fract_z
_atom_site_occupancy
K1 0.000 0.000 0.000 1
K2 0.500 0.500 0.000 1
Nd1 0.179 0.321 0.500 1
Nd2 0.321 0.821 0.500 1
Nd3 0.679 0.179 0.500 1
Nd4 0.821 0.679 0.500 1
Mn1 0.000 0.500 0.000 1
Mn2 0.500 0.000 0.000 1
O1 0.000 0.000 0.500 1
O2 0.133 0.633 0.242 1
O3 0.133 0.633 0.758 1
O4 0.367 0.133 0.242 1
O5 0.367 0.133 0.758 1
O6 0.500 0.500 0.500 1
O7 0.633 0.867 0.242 1
O8 0.633 0.867 0.758 1
O9 0.867 0.367 0.242 1
O10 0.867 0.367 0.758 1
# **Size of the total moment**: 0.4433 μB per atom


no.,VASP energy (eV/atom)
1,-6.456
2,-6.364
3,-6.636
4,-7.290